Sm2ErAl3 | PBE | optimized geometry Values from VASP.

## Properties
Its energy above the lowest structure with this stoichiometry is 2.068 eV/f.u. The value obtained for the size of the total moment is 0.000 μB/f.u. Its energy of formation is -0.04 eV per atom.

```
&SYSTEM
  ibrav = 0, nat = 12, ntyp = 3
/
ATOMIC_SPECIES
Er 167.26 Er.upf
Al 26.98 Al.upf
Sm 150.36 Sm.upf
CELL_PARAMETERS angstrom
5.9255 0.0000 0.0000
0.0000 10.4021 0.0000
-2.9627 -5.2011 5.1640
ATOMIC_POSITIONS angstrom
Er 1.4730 5.2011 2.5820
Er 1.4898 0.0000 2.5820
Al -1.4814 2.6005 2.5820
Al 0.0000 7.7968 0.0000
Al 2.9627 7.8064 0.0000
Al 0.0000 2.6053 0.0000
Al -1.4814 -2.6005 2.5820
Al 2.9627 2.5957 0.0000
Sm -1.4773 0.0000 4.3011
Sm 4.4482 0.0000 0.8628
Sm -1.4854 5.2011 4.3011
Sm 4.4401 5.2011 0.8628
```